Pr2Er2Rh15 GGA-PBE optimized geometry; E = -7.16 eV per atom
1.0
4.578 2.643 4.508
-4.578 2.643 4.508
0.000 -5.286 4.508
Pr Er Rh
2 2 15
direct
0.143 0.143 0.143 Pr
0.857 0.857 0.857 Pr
0.391 0.391 0.391 Er
0.609 0.609 0.609 Er
0.000 0.500 0.500 Rh
0.150 0.150 0.657 Rh
0.150 0.657 0.150 Rh
0.196 0.500 0.804 Rh
0.196 0.804 0.500 Rh
0.343 0.850 0.850 Rh
0.500 0.000 0.500 Rh
0.500 0.196 0.804 Rh
0.500 0.500 0.000 Rh
0.500 0.804 0.196 Rh
0.657 0.150 0.150 Rh
0.804 0.196 0.500 Rh
0.804 0.500 0.196 Rh
0.850 0.343 0.850 Rh
0.850 0.850 0.343 Rh

---

Sm2Mg3Cu2 GGA-PBE optimized geometry; E = -3.36 eV per atom
1.0
5.084 -2.162 0.000
5.084 2.162 0.000
-0.699 0.000 7.227
Sm Mg Cu
2 3 2
direct
0.129 0.129 0.354 Sm
0.871 0.871 0.646 Sm
0.180 0.180 0.860 Mg
0.500 0.500 0.000 Mg
0.820 0.820 0.140 Mg
0.421 0.421 0.355 Cu
0.579 0.579 0.645 Cu

---

TiFeNiGe GGA-PBE optimized geometry; E = -7.10 eV per atom; excess energy over the best structure of this formula in the dataset = 9 meV per atom
1.0
0.000 2.936 2.936
2.936 0.000 2.936
2.936 2.936 0.000
Ti Fe Ni Ge
1 1 1 1
direct
0.000 0.000 0.000 Ti
0.250 0.250 0.250 Fe
0.750 0.750 0.750 Ni
0.500 0.500 0.500 Ge

---

YBiSbO6 GGA-PBE optimized geometry; E = -6.70 eV per atom; formation energy from raw total energies = -1.790 eV per atom
1.0
5.640 0.000 0.000
-2.820 4.885 0.000
0.000 0.000 9.324
Y Bi Sb O
2 2 2 12
direct
0.333 0.667 0.250 Y
0.667 0.333 0.750 Y
0.000 0.000 0.000 Bi
0.000 0.000 0.500 Bi
0.333 0.667 0.750 Sb
0.667 0.333 0.250 Sb
0.034 0.365 0.632 O
0.034 0.669 0.868 O
0.331 0.365 0.868 O
0.331 0.966 0.632 O
0.365 0.034 0.132 O
0.365 0.331 0.368 O
0.635 0.669 0.632 O
0.635 0.966 0.868 O
0.669 0.034 0.368 O
0.669 0.635 0.132 O
0.966 0.331 0.132 O
0.966 0.635 0.368 O

---

Ca6MgNi2 GGA-PBE optimized geometry; E = -2.88 eV per atom
1.0
-4.930 5.032 5.376
4.930 -5.032 5.376
4.930 5.032 -5.376
Ca Mg Ni
12 2 4
direct
0.018 0.230 0.788 Ca
0.183 0.294 0.478 Ca
0.183 0.706 0.889 Ca
0.322 0.014 0.692 Ca
0.322 0.630 0.308 Ca
0.442 0.230 0.212 Ca
0.558 0.770 0.788 Ca
0.678 0.370 0.692 Ca
0.678 0.986 0.308 Ca
0.817 0.294 0.111 Ca
0.817 0.706 0.522 Ca
0.982 0.770 0.212 Ca
0.000 0.000 0.000 Mg
0.500 0.500 0.000 Mg
0.110 0.610 0.500 Ni
0.379 0.000 0.379 Ni
0.621 0.000 0.621 Ni
0.890 0.390 0.500 Ni

---

LuTh2Mg GGA-PBE optimized geometry; E = -5.17 eV per atom
1.0
4.883 0.000 0.000
0.000 4.883 0.000
0.000 0.000 4.960
Lu Th Mg
1 2 1
direct
0.000 0.000 0.000 Lu
0.000 0.500 0.500 Th
0.500 0.000 0.500 Th
0.500 0.500 0.000 Mg

---

CrTe2I GGA-PBE optimized geometry; E = -3.73 eV per atom; formation energy from raw total energies = 0.639 eV per atom; excess energy over the best structure of this formula in the dataset = 851 meV per atom
1.0
0.000 3.774 3.774
3.774 0.000 3.774
3.774 3.774 0.000
Cr Te I
1 2 1
direct
0.000 0.000 0.000 Cr
0.250 0.250 0.250 Te
0.750 0.750 0.750 Te
0.500 0.500 0.500 I

---

Pm5Ga5Rh2 GGA-PBE optimized geometry; E = -5.11 eV per atom
1.0
7.603 -2.245 0.000
7.603 2.245 0.000
-6.952 0.000 8.223
Pm Ga Rh
5 5 2
direct
0.000 0.000 0.000 Pm
0.119 0.119 0.426 Pm
0.194 0.194 0.831 Pm
0.806 0.806 0.169 Pm
0.881 0.881 0.574 Pm
0.259 0.259 0.307 Ga
0.449 0.449 0.169 Ga
0.500 0.500 0.500 Ga
0.551 0.551 0.831 Ga
0.741 0.741 0.693 Ga
0.344 0.344 0.739 Rh
0.656 0.656 0.261 Rh

---

Which formula does entry 7 have?
CrTe2I

---

Which value of E does entry 6 give?
-5.17 eV per atom

---

The highest E belongs to which entry?
Ca6MgNi2